Material: SrAc2TaO6
Method: DFT, GGA-PBE
State: relaxed

The formation energy from raw total energies is -2825 kJ/mol of formula units. The electronic total energy comes out at -80.8 eV/f.u. For the density, the calculation gives 7.5 g/cm3.

The structure belongs to space group P4mm (No. 99); the cell edges are 5.702, 5.702 and 5.604 Å and the angles 90.00°, 90.00° and 90.00°. Symmetry generates all atoms from Sr at (0.000, 0.000, 0.000), Ac at (0.000, 0.500, 0.458), Ta at (0.500, 0.500, 0.054), O at (0.000, 0.000, 0.571), O at (0.274, 0.274, 0.196) and O at (0.500, 0.500, 0.715).